## Zr2PSe (meta-GGA SCAN)

Data for a crystal of Zr2PSe relaxed with PBEsol.

POSCAR file:
```
Zr2PSe
1.0
3.5006 0.0000 0.0000
0.0000 3.4948 0.0000
-1.7503 -1.7474 6.1675
Zr Se P
2 1 1
Direct
0.7007 0.2007 0.4013
0.9633 0.9633 0.9266
0.2930 0.7930 0.5860
0.5430 0.5430 0.0861
```

Results
The density of states at the Fermi level comes out at 0.558 states/eV per atom. The calculation puts the magnetic moment at 0.8 μB/cell. As for the energy relative to the elements, uncorrected: -555 kJ/mol of formula units. The energy above the most stable polymorph in this dataset comes out at 39 meV/atom. As for the density: 6.4 g cm⁻³. Its space-group type is Imm2. Its raw total energy is -0.897 Ha/atom.

***

## La2SiS (meta-GGA SCAN)

Data for a crystal of La2SiS relaxed with PBEsol.

POSCAR file:
```
La2SiS
1.0
6.3340 0.0000 0.0000
0.0000 6.3340 0.0000
-3.1670 -3.1670 7.0309
La Si S
4 2 2
Direct
0.1250 0.1161 0.7500
0.6250 0.6339 0.7500
0.3661 0.8750 0.2500
0.8839 0.3750 0.2500
0.5000 0.5000 0.0000
0.7500 0.2500 0.5000
0.2500 0.7500 0.5000
0.0000 0.0000 0.0000
```

Results
The calculation puts the magnetic moment at 0.0 μB/cell. As for the energy relative to the elements, uncorrected: -426 kJ/mol of formula units. The energy above the most stable polymorph in this dataset comes out at 102 meV/atom. As for the density: 4.0 g cm⁻³. Its space-group type is I-42d. Its raw total energy is -1.013 Ha/atom.